Sc2AlWC | GGA-PBE | optimized geometry

Cell: 4.502 4.502 4.111 Å, 90.00 90.00 90.00°
Fractional coordinates of all 5 atoms:
Sc 0.000 0.500 0.000
Sc 0.500 0.000 0.000
C 0.000 0.000 0.000
Al 0.500 0.500 0.500
W 0.000 0.000 0.500

Values from the calculation:
Calculated formation energy: -348 meV per atom
Uncorrected energy: -0.5927 Ry per atom
Space-group type: P4/mmm, No. 123

NaCa4Hg2 | GGA-PBE | optimized geometry

Cell: 5.527 5.527 9.063 Å, 72.25 72.25 60.00°
Fractional coordinates of all 7 atoms:
Na 0.000 0.000 0.000
Ca 0.133 0.133 0.602
Ca 0.387 0.387 0.838
Ca 0.867 0.867 0.398
Ca 0.613 0.613 0.162
Hg 0.257 0.257 0.230
Hg 0.743 0.743 0.770

Values from the calculation:
Calculated formation energy: -262 meV per atom
Uncorrected energy: -0.1235 Ry per atom
Space-group type: R-3m, No. 166

Tm3Al3Ag2 | GGA-PBE | optimized geometry

Cell: 3.915 7.219 7.219 Å, 120.00 90.00 90.00°
Fractional coordinates of all 8 atoms:
Tm 0.500 0.390 0.390
Tm 0.500 0.610 0.000
Tm 0.500 0.000 0.610
Al 0.000 0.771 0.771
Al 0.000 0.000 0.229
Al 0.000 0.229 0.000
Ag 0.000 0.667 0.333
Ag 0.000 0.333 0.667

Values from the calculation:
Calculated formation energy: -314 meV per atom
Uncorrected energy: -0.3019 Ry per atom
Space-group type: P-62m, No. 189

MnRe2As2 | GGA-PBE | optimized geometry

Cell: 5.624 5.624 5.624 Å, 135.10 135.10 65.38°
Fractional coordinates of all 5 atoms:
As 0.374 0.374 0.000
As 0.626 0.626 0.000
Re 0.250 0.750 0.500
Re 0.750 0.250 0.500
Mn 0.000 0.000 0.000

Values from the calculation:
Calculated formation energy: 414 meV per atom
Uncorrected energy: -0.6070 Ry per atom
Space-group type: I4/mmm, No. 139

SrZrOs2 | GGA-PBE | optimized geometry

Cell: 5.525 5.525 5.356 Å, 74.18 74.18 33.25°
Fractional coordinates of all 4 atoms:
Zr 0.288 0.288 0.173
Sr 0.488 0.488 0.507
Os 0.713 0.713 0.843
Os 0.012 0.012 0.977

Values from the calculation:
Calculated formation energy: 411 meV per atom
Uncorrected energy: -0.5705 Ry per atom
Space-group type: Cm, No. 8
ΔE to the lowest computed polymorph: 48 kJ/mol of formula units

NaEuTlHg | GGA-PBE | optimized geometry

Cell: 5.430 5.430 5.430 Å, 60.00 60.00 60.00°
Fractional coordinates of all 4 atoms:
Na 0.000 0.000 0.000
Eu 0.500 0.500 0.500
Tl 0.750 0.750 0.750
Hg 0.250 0.250 0.250

Values from the calculation:
Calculated formation energy: -312 meV per atom
Uncorrected energy: -0.2850 Ry per atom
Space-group type: F-43m, No. 216